## BeTc2SeF (PBE)

Data for BeTc2SeF after structural relaxation.

a = 4.0278 Å, b = 4.8875 Å, c = 4.0278 Å
α = 90.00°, β = 90.00°, γ = 90.00°
Site moments in Bohr magnetons follow the coordinates.
Element x y z (fractional)
Be (0.5000, 0.5000, 0.5000)  -0.04
Se (0.0000, 0.5000, 0.0000)  0.05
F (0.0000, 0.0000, 0.0000)  0.01
Tc (0.0000, 0.0000, 0.5000)  1.18
Tc (0.5000, 0.0000, 0.0000)  1.12

Properties
total moment = 2.479 μB per formula unit
total energy = -5.0052 eV per atom
space group = P4/mmm (123)